(1)
A relaxed BaP2Pd crystal, computed with PBE-GGA.

Properties
As for the density: 5.02 g/cm³. The space group is Amm2. The volume is 101.13 Å³ per cell. For the total energy, the calculation gives -0.19247 Ha/atom. For the density of states at the Fermi level, the calculation gives 2.3 states/eV per cell.

abc: 4.7380 4.7311 4.7311
angles: 72.49 90.00 90.00
Element x y z (fractional)
Ba (0.0000, 0.0000, 0.0000)
P (0.5000, 0.0930, 0.4766)
P (0.5000, 0.4766, 0.0930)
Pd (0.5000, 0.5723, 0.5723)

=====

(2)
A relaxed TaAsCl crystal, computed with PBE-GGA.

Properties
As for the density: 7.37 g/cm³. The space group is Imm2. The volume is 65.60 Å³ per cell. As for the uncorrected formation energy: -0.2893 eV/atom. For the density of states at the Fermi level, the calculation gives 1.7 states/eV per cell.

abc: 7.2082 7.2082 7.2082
angles: 156.41 154.01 35.38
Element x y z (fractional)
Ta (0.0000, 0.0000, 0.0000)
As (0.3790, 0.3790, 0.0000)
Cl (0.6186, 0.6186, 0.0000)

=====

(3)
A relaxed Mg2MnTl crystal, computed with PBE-GGA.

Properties
As for the density: 6.17 g/cm³. The space group is C2/m. The volume is 82.88 Å³ per cell. For the total energy, the calculation gives -0.12763 Ha/atom. For the density of states at the Fermi level, the calculation gives 2.4 states/eV per cell.

abc: 5.3226 5.3226 4.3624
angles: 114.08 114.08 48.58
Element x y z (fractional)
Mg (0.2499, 0.2499, 0.2500)
Mg (0.7501, 0.7501, 0.7500)
Mn (0.0000, 0.0000, 0.5000)
Tl (0.5000, 0.5000, 0.0000)

=====

(4)
A relaxed SbTePd5 crystal, computed with PBE-GGA.

Properties
As for the density: 10.46 g/cm³. The space group is C2/c. The volume is 248.21 Å³ per cell. As for the uncorrected formation energy: -0.3223 eV/atom. For the density of states at the Fermi level, the calculation gives 4.7 states/eV per cell.

abc: 5.2654 5.2654 9.4191
angles: 102.18 102.18 93.05
Element x y z (fractional)
Sb (0.0038, 0.9962, 0.7500)
Sb (0.9962, 0.0038, 0.2500)
Te (0.5000, 0.5000, 0.0000)
Te (0.5000, 0.5000, 0.5000)
Pd (0.0518, 0.7365, 0.9645)
Pd (0.1183, 0.4803, 0.6563)
Pd (0.2635, 0.9482, 0.5355)
Pd (0.3432, 0.6568, 0.2500)
Pd (0.4803, 0.1183, 0.1563)
Pd (0.5197, 0.8817, 0.8437)
Pd (0.6568, 0.3432, 0.7500)
Pd (0.7365, 0.0518, 0.4645)
Pd (0.8817, 0.5197, 0.3437)
Pd (0.9482, 0.2635, 0.0355)

=====

(5)
A relaxed NiTe2Cl crystal, computed with PBE-GGA.

Properties
As for the density: 6.90 g/cm³. The space group is P4/mmm. The volume is 84.10 Å³ per cell. As for the uncorrected formation energy: 0.4158 eV/atom. For the density of states at the Fermi level, the calculation gives 2.7 states/eV per cell.

abc: 5.1851 5.1851 3.1283
angles: 90.00 90.00 90.00
Element x y z (fractional)
Ni (0.0000, 0.0000, 0.0000)
Te (0.0000, 0.5000, 0.5000)
Te (0.5000, 0.0000, 0.5000)
Cl (0.5000, 0.5000, 0.0000)

=====

(6)
A relaxed La2PmPr8 crystal, computed with PBE-GGA.

Properties
As for the density: 6.28 g/cm³. The space group is Cm. The volume is 409.74 Å³ per cell. For the total energy, the calculation gives -0.17097 Ha/atom. For the density of states at the Fermi level, the calculation gives 18.4 states/eV per cell.

abc: 8.7211 8.7211 5.5993
angles: 90.05 90.05 105.82
Element x y z (fractional)
La (0.1180, 0.8820, 0.0000)
La (0.8820, 0.1180, 0.0000)
Pm (0.4999, 0.4999, 0.5002)
Pr (0.1680, 0.1680, 0.5003)
Pr (0.2013, 0.4661, 0.0001)
Pr (0.2507, 0.7522, 0.5000)
Pr (0.4661, 0.2013, 0.0001)
Pr (0.5341, 0.7974, 0.0000)
Pr (0.7522, 0.2507, 0.5000)
Pr (0.7974, 0.5341, 0.0000)
Pr (0.8320, 0.8320, 0.4998)

=====

- What is the density in the first record?
  5.02 g/cm³